[1]
DFT (GGA-PBE) results for a relaxed structure of La2MgCoC.

Summary:
Mass density   5.64 g/cm³
E_form   -0.114 eV per atom
VASP energy   -5.6701 eV per atom
SG   P4/mmm (123)

Lattice parameters (Å, degrees): 5.4598 5.4598 3.6859 90.00 90.00 90.00
Closest atoms and distances in Å follow each position.
Atoms (fractional coordinates):
1 Mg 0.5000 0.5000 0.5000  8 La 3.29, 2 Mg 3.69
2 Co 0.0000 0.0000 0.5000  2 C 1.84
3 C 0.0000 0.0000 0.0000  2 Co 1.84
4 La 0.0000 0.5000 0.0000  2 C 2.73
5 La 0.5000 0.0000 0.0000  2 C 2.73



[2]
DFT (GGA-PBE) results for a relaxed structure of La2MnCoC.

Summary:
Mass density   6.43 g/cm³
E_form   0.034 eV per atom
VASP energy   -7.0372 eV per atom
SG   P4/mmm (123)

Lattice parameters (Å, degrees): 5.3579 5.3579 3.6297 90.00 90.00 90.00
Closest atoms and distances in Å follow each position.
Atoms (fractional coordinates):
1 C 0.0000 0.0000 0.0000  2 Co 1.81
2 Mn 0.5000 0.5000 0.5000  8 La 3.24
3 Co 0.0000 0.0000 0.5000  2 C 1.81
4 La 0.0000 0.5000 0.0000  2 C 2.68
5 La 0.5000 0.0000 0.0000  2 C 2.68



[3]
DFT (GGA-PBE) results for a relaxed structure of LaCoCN.

Summary:
Mass density   7.52 g/cm³
VASP energy   -7.9645 eV per atom
SG   P4/nmm (129)
Formation energy from raw total energies   -0.57 eV/atom

Lattice parameters (Å, degrees): 3.6332 3.6332 7.4860 90.00 90.00 90.00
Closest atoms and distances in Å follow each position.
Atoms (fractional coordinates):
1 La 0.0000 0.5000 0.8190  5 N 2.57-2.61
2 La 0.5000 0.0000 0.1810  5 N 2.57-2.61
3 Co 0.0000 0.0000 0.5000  4 C 2.11
4 Co 0.5000 0.5000 0.5000  4 C 2.11
5 C 0.0000 0.5000 0.3560  1 N 1.41
6 C 0.5000 0.0000 0.6440  1 N 1.41
7 N 0.5000 0.0000 0.8320  1 C 1.41
8 N 0.0000 0.5000 0.1680  1 C 1.41



[4]
DFT (GGA-PBE) results for a relaxed structure of La2CoC2N6.

Summary:
Mass density   4.03 g/cm³
VASP energy   -6.7707 eV per atom
SG   R-3m (166)
Formation energy from raw total energies   0.99 eV/atom

Lattice parameters (Å, degrees): 7.0931 7.0931 5.8722 52.85 52.85 60.00
Closest atoms and distances in Å follow each position.
Atoms (fractional coordinates):
1 La 0.7428 0.7428 0.7715  3 N 2.42, 1 C 2.44
2 La 0.2572 0.2572 0.2285  3 N 2.42, 1 C 2.44
3 Co 0.0000 0.0000 0.0000  6 N 1.79
4 C 0.4501 0.4501 0.6496  1 C 1.26
5 C 0.5499 0.5499 0.3504  1 C 1.26
6 N 0.8789 0.8789 0.9316  1 Co 1.79, 2 N 1.86
7 N 0.3107 0.8789 0.9316  1 Co 1.79, 2 N 1.86
8 N 0.8789 0.3107 0.9316  1 Co 1.79, 2 N 1.86
9 N 0.1211 0.6893 0.0684  1 Co 1.79, 2 N 1.86
10 N 0.6893 0.1211 0.0684  1 Co 1.79, 2 N 1.86
11 N 0.1211 0.1211 0.0684  1 Co 1.79, 2 N 1.86



[5]
DFT (GGA-PBE) results for a relaxed structure of NaLa2CoC.

Summary:
Mass density   5.32 g/cm³
E_form   0.353 eV per atom
VASP energy   -5.1477 eV per atom
SG   P4/mmm (123)

Lattice parameters (Å, degrees): 5.5873 3.7185 5.5873 90.00 90.00 90.00
Closest atoms and distances in Å follow each position.
Atoms (fractional coordinates):
1 Na 0.5000 0.5000 0.5000  8 La 3.36, 2 Na 3.72
2 C 0.0000 0.5000 0.0000  2 Co 1.86
3 Co 0.0000 0.0000 0.0000  2 C 1.86
4 La 0.0000 0.0000 0.5000  2 Co 2.79
5 La 0.5000 0.0000 0.0000  2 Co 2.79



[6]
DFT (GGA-PBE) results for a relaxed structure of NaLa2CoC.

Summary:
Mass density   5.58 g/cm³
E_form   0.032 eV per atom
VASP energy   -5.4684 eV per atom
SG   P4/mmm (123)

Lattice parameters (Å, degrees): 5.4542 5.4542 3.7188 90.00 90.00 90.00
Closest atoms and distances in Å follow each position.
Atoms (fractional coordinates):
1 Na 0.5000 0.5000 0.5000  8 La 3.30
2 C 0.0000 0.0000 0.0000  2 Co 1.86
3 Co 0.0000 0.0000 0.5000  2 C 1.86
4 La 0.0000 0.5000 0.0000  2 C 2.73
5 La 0.5000 0.0000 0.0000  2 C 2.73



[7]
DFT (GGA-PBE) results for a relaxed structure of LaNd2CoC2.

Summary:
Mass density   6.73 g/cm³
E_form   -0.026 eV per atom
VASP energy   -6.6952 eV per atom
SG   Pnnm (58)

Lattice parameters (Å, degrees): 3.8800 5.7641 11.2676 90.00 90.00 90.00
Closest atoms and distances in Å follow each position.
Atoms (fractional coordinates):
1 La 0.5000 0.5000 0.0000  4 C 2.77
2 La 0.0000 0.0000 0.5000  4 C 2.77
3 Nd 0.5000 0.0076 0.2013  3 C 2.55-2.63
4 Nd 0.0000 0.5076 0.2987  3 C 2.55-2.63
5 Nd 0.5000 0.9924 0.7987  3 C 2.55-2.63
6 Nd 0.0000 0.4924 0.7013  3 C 2.55-2.63
7 Co 0.0000 0.0000 0.0000  2 C 1.85
8 Co 0.5000 0.5000 0.5000  2 C 1.85
9 C 0.5000 0.7352 0.3881  1 Co 1.85
10 C 0.5000 0.2648 0.6119  1 Co 1.85
11 C 0.0000 0.7648 0.8881  1 Co 1.85
12 C 0.0000 0.2352 0.1119  1 Co 1.85



[8]
DFT (GGA-PBE) results for a relaxed structure of La2NdCoC2.

Summary:
Mass density   6.59 g/cm³
E_form   -0.006 eV per atom
VASP energy   -6.7018 eV per atom
SG   Pnnm (58)

Lattice parameters (Å, degrees): 3.8564 5.7571 11.4605 90.00 90.00 90.00
Closest atoms and distances in Å follow each position.
Atoms (fractional coordinates):
1 La 0.5000 0.0135 0.2011  3 C 2.58-2.70
2 La 0.0000 0.5135 0.2989  3 C 2.58-2.70
3 La 0.5000 0.9865 0.7989  3 C 2.58-2.70
4 La 0.0000 0.4865 0.7011  3 C 2.58-2.70
5 Nd 0.5000 0.5000 0.0000  4 C 2.72
6 Nd 0.0000 0.0000 0.5000  4 C 2.72
7 Co 0.0000 0.0000 0.0000  2 C 1.86
8 Co 0.5000 0.5000 0.5000  2 C 1.86
9 C 0.5000 0.7433 0.3934  1 Co 1.86
10 C 0.5000 0.2567 0.6066  1 Co 1.86
11 C 0.0000 0.7567 0.8934  1 Co 1.86
12 C 0.0000 0.2433 0.1066  1 Co 1.86



[9]
DFT (GGA-PBE) results for a relaxed structure of LaCoNiC.

Summary:
Mass density   7.15 g/cm³
E_form   -0.082 eV per atom
VASP energy   -6.8412 eV per atom
SG   Imm2 (44)

Lattice parameters (Å, degrees): 3.3712 3.7406 5.5523 109.69 107.67 90.00
Closest atoms and distances in Å follow each position.
Atoms (fractional coordinates):
1 La 0.9612 0.9612 0.9224  2 C 2.75, 1 Ni 2.84, 1 Co 2.94
2 Co 0.6646 0.6646 0.3292  2 C 1.85
3 Ni 0.2481 0.2481 0.4962  2 C 1.87
4 C 0.2414 0.7414 0.4829  2 Co 1.85, 2 Ni 1.87



[10]
DFT (GGA-PBE) results for a relaxed structure of La2CoNiC.

Summary:
Mass density   6.74 g/cm³
E_form   -0.034 eV per atom
VASP energy   -6.4274 eV per atom
SG   P4/mmm (123)

Lattice parameters (Å, degrees): 5.2678 5.2678 3.6161 90.00 90.00 90.00
Closest atoms and distances in Å follow each position.
Atoms (fractional coordinates):
1 Ni 0.0000 0.0000 0.5000  2 C 1.81
2 C 0.0000 0.0000 0.0000  2 Ni 1.81
3 Co 0.5000 0.5000 0.5000  8 La 3.19
4 La 0.0000 0.5000 0.0000  2 C 2.63
5 La 0.5000 0.0000 0.0000  2 C 2.63